[1]
VASP calculation (PBE) on a geometry-optimized Tm2Th5 structure.

Unit cell a=5.648 b=5.648 c=8.824 alpha=71.33 beta=71.33 gamma=60.00
Fractional positions:
Tm1 0.363 0.363 0.912
Tm2 0.637 0.637 0.088
Th1 0.778 0.778 0.667
Th2 0.920 0.920 0.239
Th3 0.222 0.222 0.333
Th4 0.080 0.080 0.761
Th5 0.500 0.500 0.500

## Properties
Space group   R-3m (166)
Energy relative to the lowest polymorph listed for this composition   0.1393 eV/atom
Total magnetization   0.0 Bohr magnetons per cell

[2]
VASP calculation (PBE) on a geometry-optimized BaReCl2 structure.

Unit cell a=10.090 b=10.090 c=10.090 alpha=26.89 beta=26.89 gamma=26.89
Fractional positions:
Re1 0.250 0.250 0.250
Ba1 0.750 0.750 0.750
Cl1 0.033 0.033 0.033
Cl2 0.467 0.467 0.467

## Properties
Space group   R-3m (166)
Energy relative to the lowest polymorph listed for this composition   0.1931 eV/atom
Total magnetization   5.0 Bohr magnetons per cell